# 1
This record from the Alexandria database describes an optimized crystal structure of K5CdAu2. The functional is PBE.

Unit cell a=10.449 b=10.449 c=10.449 alpha=129.88 beta=129.88 gamma=73.60
Element x y z (fractional)
K (0.000, 0.000, 0.000)
K (0.032, 0.532, 0.837)
K (0.195, 0.032, 0.500)
K (0.305, 0.805, 0.837)
K (0.468, 0.305, 0.500)
K (0.500, 0.500, 0.000)
K (0.532, 0.695, 0.500)
K (0.695, 0.195, 0.163)
K (0.805, 0.968, 0.500)
K (0.968, 0.468, 0.163)
Cd (0.250, 0.250, 0.000)
Cd (0.750, 0.750, 0.000)
Au (0.117, 0.383, 0.500)
Au (0.383, 0.883, 0.265)
Au (0.617, 0.117, 0.735)
Au (0.883, 0.617, 0.500)

Calculated volume: 656 Å³/cell
E_form: -1.5 eV per formula unit
Density: 3.6 Mg/m³

---

# 2
This record from the Alexandria database describes an optimized crystal structure of BaIn3Au. The functional is PBE.

Unit cell a=6.444 b=6.444 c=6.444 alpha=90.00 beta=90.00 gamma=90.00
Element x y z (fractional)
Ba (0.000, 0.000, 0.000)
In (0.000, 0.000, 0.500)
In (0.000, 0.500, 0.000)
In (0.500, 0.000, 0.000)
Au (0.500, 0.500, 0.500)

Calculated volume: 268 Å³/cell
E_form: 5.1 eV per formula unit
Density: 4.2 Mg/m³

---

# 3
This record from the Alexandria database describes an optimized crystal structure of BaZnRhF6. The functional is PBE.

Unit cell a=7.484 b=7.484 c=7.484 alpha=122.79 beta=121.10 gamma=86.67
Element x y z (fractional)
Ba (0.443, 0.193, 0.250)
Ba (0.557, 0.807, 0.750)
Zn (0.000, 0.500, 0.500)
Zn (0.500, 0.500, 0.000)
Rh (0.000, 0.000, 0.500)
Rh (0.000, 0.500, 0.000)
F (0.087, 0.837, 0.250)
F (0.144, 0.427, 0.296)
F (0.144, 0.847, 0.716)
F (0.293, 0.543, 0.750)
F (0.369, 0.153, 0.796)
F (0.369, 0.573, 0.216)
F (0.631, 0.427, 0.784)
F (0.631, 0.847, 0.204)
F (0.707, 0.457, 0.250)
F (0.856, 0.153, 0.284)
F (0.856, 0.573, 0.704)
F (0.913, 0.163, 0.750)

Energy relative to the elements, uncorrected: -2.3069 eV/atom
Calculated volume: 287 Å³/cell
Density: 4.9 Mg/m³

---

# 4
This record from the Alexandria database describes an optimized crystal structure of HfZrS2. The functional is PBE.

Unit cell a=4.542 b=4.542 c=4.542 alpha=60.00 beta=60.00 gamma=60.00
Element x y z (fractional)
Hf (0.000, 0.000, 0.000)
Zr (0.500, 0.500, 0.500)
S (0.250, 0.250, 0.250)
S (0.750, 0.750, 0.750)

Energy relative to the elements, uncorrected: -1.2201 eV/atom
Calculated volume: 66 Å³/cell
Density: 8.4 Mg/m³
Energy above the most stable polymorph in this dataset: 0.259 eV per atom

---

# 5
This record from the Alexandria database describes an optimized crystal structure of K2BaSr. The functional is PBE.

Unit cell a=7.887 b=7.887 c=7.887 alpha=132.40 beta=132.40 gamma=69.59
Element x y z (fractional)
K (0.000, 0.000, 0.000)
K (0.750, 0.250, 0.500)
Ba (0.500, 0.500, 0.000)
Sr (0.250, 0.750, 0.500)

Calculated volume: 262 Å³/cell
E_form: 0.6 eV per formula unit
Density: 1.9 Mg/m³

---

# 6
This record from the Alexandria database describes an optimized crystal structure of PmNiPb. The functional is PBE.

Unit cell a=4.645 b=4.645 c=8.169 alpha=106.50 beta=106.50 gamma=59.67
Element x y z (fractional)
Pm (0.243, 0.243, 0.225)
Pm (0.757, 0.757, 0.775)
Ni (0.363, 0.363, 0.596)
Ni (0.637, 0.637, 0.404)
Pb (0.000, 0.000, 0.500)
Pb (0.500, 0.500, 0.000)

Calculated volume: 144 Å³/cell
E_form: -0.9 eV per formula unit
Density: 9.5 Mg/m³
Energy above the most stable polymorph in this dataset: 0.078 eV per atom